The following is a DFT calculation (PBE-GGA) of BeSbSe2N after structural relaxation.

Summary:
* energy relative to the lowest polymorph listed for this composition: 3.860 eV/f.u.
* ΔE_f (raw): 1.17 eV per atom

Cell lengths 5.341, 5.341, 3.886 Å; angles 90.00, 90.00, 90.00 degrees
Each line ends with the local moment (μB).
Fractional positions:
Se: 0.500 0.000 0.000  0.03
Se: 0.000 0.500 0.000  0.03
N: 0.000 0.000 0.500  0.10
Sb: 0.000 0.000 0.000  -0.01
Be: 0.500 0.500 0.500  -0.01


The following is a DFT calculation (PBE-GGA) of TaBeSbN2 after structural relaxation.

Summary:
* ΔE_f (raw): 2.10 eV per atom

Cell lengths 3.972, 5.632, 3.972 Å; angles 90.00, 90.00, 90.00 degrees
Each line ends with the local moment (μB).
Fractional positions:
N: 0.500 0.000 0.000  0.02
N: 0.000 0.000 0.500  0.01
Be: 0.500 0.500 0.500  -0.01
Sb: 0.000 0.000 0.000  0.00
Ta: 0.000 0.500 0.000  -0.06


no.,electronic total energy (eV per cell)
1,-17.27
2,-25.87